No. 1
Here is a relaxed structure of LiHoEr2S5 from Alexandria via LeMat-Bulk. Energies are from PBE.

```
data_LiHoEr2S5
_chemical_formula_sum 'Li4 Ho4 Er8 S20'
_cell_length_a 3.8635
_cell_length_b 16.0630
_cell_length_c 11.7604
_cell_angle_alpha 90.00
_cell_angle_beta 90.00
_cell_angle_gamma 90.00
_symmetry_space_group_name_H-M 'C m c 21'
_symmetry_Int_Tables_number 36
_symmetry_space_group_name_Hall 'C 2c -2'
loop_
_atom_site_label
_atom_site_type_symbol
_atom_site_fract_x
_atom_site_fract_y
_atom_site_fract_z
_atom_site_occupancy
Li1 Li 0.0000 0.0128 0.0000 1
Ho1 Ho 0.0000 0.3033 0.5188 1
Er1 Er 0.0000 0.3764 0.8088 1
Er2 Er 0.0000 0.3923 0.2018 1
S1 S 0.0000 0.0003 0.3033 1
S2 S 0.0000 0.1365 0.5222 1
S3 S 0.0000 0.1927 0.8581 1
S4 S 0.0000 0.2133 0.1818 1
S5 S 0.0000 0.4545 0.5940 1
```

Calculated values
uncorrected formation energy = -1.85 eV per atom

No. 2
Here is a relaxed structure of Hf2FeRu2 from Alexandria via LeMat-Bulk. Energies are from PBE.

```
data_Hf2FeRu2
_chemical_formula_sum 'Hf4 Fe2 Ru4'
_cell_length_a 3.4232
_cell_length_b 3.4232
_cell_length_c 15.3413
_cell_angle_alpha 90.00
_cell_angle_beta 90.00
_cell_angle_gamma 90.00
_symmetry_space_group_name_H-M 'I 4/m m m'
_symmetry_Int_Tables_number 139
_symmetry_space_group_name_Hall '-I 4 2'
loop_
_atom_site_label
_atom_site_type_symbol
_atom_site_fract_x
_atom_site_fract_y
_atom_site_fract_z
_atom_site_occupancy
Hf1 Hf 0.0000 0.0000 0.0978 1
Fe1 Fe 0.0000 0.0000 0.5000 1
Ru1 Ru 0.0000 0.5000 0.2500 1
```

Calculated values
energy relative to the elements = 227.3 meV/atom

No. 3
Here is a relaxed structure of CsRbP2Cl from Alexandria via LeMat-Bulk. Energies are from PBE.

```
data_CsRbP2Cl
_chemical_formula_sum 'Cs1 Rb1 P2 Cl1'
_cell_length_a 6.1558
_cell_length_b 6.1558
_cell_length_c 6.5045
_cell_angle_alpha 90.00
_cell_angle_beta 90.00
_cell_angle_gamma 90.00
_symmetry_space_group_name_H-M 'P 4/m m m'
_symmetry_Int_Tables_number 123
_symmetry_space_group_name_Hall '-P 4 2'
loop_
_atom_site_label
_atom_site_type_symbol
_atom_site_fract_x
_atom_site_fract_y
_atom_site_fract_z
_atom_site_occupancy
Cs1 Cs 0.0000 0.0000 0.0000 1
Rb1 Rb 0.5000 0.5000 0.5000 1
P1 P 0.0000 0.5000 0.0000 1
Cl1 Cl 0.0000 0.0000 0.5000 1
```

Calculated values
uncorrected formation energy = 0.46 eV per atom

No. 4
Here is a relaxed structure of TbDyTm4Se8 from Alexandria via LeMat-Bulk. Energies are from PBE.

```
data_TbDyTm4Se8
_chemical_formula_sum 'Tb3 Dy3 Tm12 Se24'
_cell_length_a 8.3405
_cell_length_b 8.3405
_cell_length_c 20.4816
_cell_angle_alpha 90.00
_cell_angle_beta 90.00
_cell_angle_gamma 120.00
_symmetry_space_group_name_H-M 'R 3 m'
_symmetry_Int_Tables_number 160
_symmetry_space_group_name_Hall 'R 3 -2"'
loop_
_atom_site_label
_atom_site_type_symbol
_atom_site_fract_x
_atom_site_fract_y
_atom_site_fract_z
_atom_site_occupancy
Tb1 Tb 0.0000 0.0000 0.0000 1
Dy1 Dy 0.0000 0.0000 0.3747 1
Tm1 Tm 0.0000 0.0000 0.7490 1
Tm2 Tm 0.1672 0.3344 0.2076 1
Se1 Se 0.0000 0.0000 0.1341 1
Se2 Se 0.0000 0.0000 0.6167 1
Se3 Se 0.0168 0.5084 0.1280 1
Se4 Se 0.1774 0.3547 0.9534 1
```

Calculated values
uncorrected formation energy = -1.69 eV per atom

No. 5
Here is a relaxed structure of CaNiCl2 from Alexandria via LeMat-Bulk. Energies are from PBE.

```
data_CaNiCl2
_chemical_formula_sum 'Ca2 Ni2 Cl4'
_cell_length_a 6.7800
_cell_length_b 7.4576
_cell_length_c 4.9628
_cell_angle_alpha 90.00
_cell_angle_beta 132.40
_cell_angle_gamma 90.00
_symmetry_space_group_name_H-M 'C 1 2/m 1'
_symmetry_Int_Tables_number 12
_symmetry_space_group_name_Hall '-C 2y'
loop_
_atom_site_label
_atom_site_type_symbol
_atom_site_fract_x
_atom_site_fract_y
_atom_site_fract_z
_atom_site_occupancy
Ca1 Ca 0.0000 0.0000 0.0000 1
Ni1 Ni 0.0000 0.5000 0.0000 1
Cl1 Cl 0.2500 0.2500 0.5000 1
```

Calculated values
uncorrected formation energy = -0.85 eV per atom

No. 6
Here is a relaxed structure of YSiH2 from Alexandria via LeMat-Bulk. Energies are from PBE.

```
data_YSiH2
_chemical_formula_sum 'Y4 Si4 H8'
_cell_length_a 5.7633
_cell_length_b 5.7633
_cell_length_c 5.7633
_cell_angle_alpha 90.00
_cell_angle_beta 90.00
_cell_angle_gamma 90.00
_symmetry_space_group_name_H-M 'F m -3 m'
_symmetry_Int_Tables_number 225
_symmetry_space_group_name_Hall '-F 4 2 3'
loop_
_atom_site_label
_atom_site_type_symbol
_atom_site_fract_x
_atom_site_fract_y
_atom_site_fract_z
_atom_site_occupancy
Y1 Y 0.0000 0.0000 0.0000 1
Si1 Si 0.0000 0.0000 0.5000 1
H1 H 0.2500 0.2500 0.2500 1
```

Calculated values
final energy = -4.681 eV/atom

No. 7
Here is a relaxed structure of Al2IrW from Alexandria via LeMat-Bulk. Energies are from PBE.

```
data_Al2IrW
_chemical_formula_sum 'Al4 Ir2 W2'
_cell_length_a 3.9327
_cell_length_b 3.9327
_cell_length_c 7.7183
_cell_angle_alpha 90.00
_cell_angle_beta 90.00
_cell_angle_gamma 90.00
_symmetry_space_group_name_H-M 'I 4/m m m'
_symmetry_Int_Tables_number 139
_symmetry_space_group_name_Hall '-I 4 2'
loop_
_atom_site_label
_atom_site_type_symbol
_atom_site_fract_x
_atom_site_fract_y
_atom_site_fract_z
_atom_site_occupancy
Al1 Al 0.0000 0.5000 0.2500 1
Ir1 Ir 0.0000 0.0000 0.0000 1
W1 W 0.0000 0.0000 0.5000 1
```

Calculated values
energy relative to the elements = -144.5 meV/atom

No. 8
Here is a relaxed structure of ScSnHRh2 from Alexandria via LeMat-Bulk. Energies are from PBE.

```
data_ScSnHRh2
_chemical_formula_sum 'Sc1 Sn1 H1 Rh2'
_cell_length_a 4.1815
_cell_length_b 4.1815
_cell_length_c 3.9943
_cell_angle_alpha 90.00
_cell_angle_beta 90.00
_cell_angle_gamma 90.00
_symmetry_space_group_name_H-M 'P 4/m m m'
_symmetry_Int_Tables_number 123
_symmetry_space_group_name_Hall '-P 4 2'
loop_
_atom_site_label
_atom_site_type_symbol
_atom_site_fract_x
_atom_site_fract_y
_atom_site_fract_z
_atom_site_occupancy
Sc1 Sc 0.0000 0.0000 0.0000 1
Sn1 Sn 0.5000 0.5000 0.0000 1
H1 H 0.0000 0.0000 0.5000 1
Rh1 Rh 0.0000 0.5000 0.5000 1
```

Calculated values
final energy = -6.282 eV/atom